# 1
Density functional theory data (GGA-PBE) for a relaxed structure of Pm3Y7Tm.

Values from the calculation:
Its polymorph energy (0 for the lowest one) is 128 meV/atom. As for the magnetization: 0.04 μB per atom. The calculation puts the formation energy at 269 meV/atom.

Lattice parameters (Å, degrees): 5.8668 11.1599 11.3131 90.00 90.00 90.00
Space group Immm (No. 71)
Unique sites:
Pm 0.0000 0.0000 0.0000
Pm 0.0000 0.5000 0.2878
Y 0.0000 0.2002 0.2017
Y 0.0000 0.2938 0.5000
Y 0.0000 0.5000 0.0000
Tm 0.0000 0.0000 0.5000

---

# 2
Density functional theory data (GGA-PBE) for a relaxed structure of Pm8YTm3.

Values from the calculation:
As for the magnetization: 0.00 μB per atom. The calculation puts the formation energy at 14 meV/atom.

Lattice parameters (Å, degrees): 6.2283 7.2242 9.5189 79.06 77.56 73.19
Space group P-1 (No. 2)
Unique sites:
Pm 0.0008 0.1665 0.3325
Pm 0.0010 0.3320 0.6683
Pm 0.4978 0.1668 0.8338
Pm 0.4977 0.6678 0.8338
Y 0.5000 0.5000 0.5000
Tm 0.0000 0.0000 0.0000
Tm 0.0000 0.5000 0.0000
Tm 0.5000 0.0000 0.5000

---

# 3
Density functional theory data (GGA-PBE) for a relaxed structure of Pm4YTm.

Values from the calculation:
Its polymorph energy (0 for the lowest one) is 142 meV/atom. As for the magnetization: 0.00 μB per atom. The calculation puts the formation energy at 248 meV/atom.

Lattice parameters (Å, degrees): 9.4027 9.4027 9.4027 90.00 90.00 90.00
Space group F-43m (No. 216)
Unique sites:
Pm 0.1249 0.1249 0.1249
Y 0.0000 0.0000 0.5000
Tm 0.2500 0.2500 0.7500

---

# 4
Density functional theory data (GGA-PBE) for a relaxed structure of Pm2Y5Tm12.

Values from the calculation:
Its polymorph energy (0 for the lowest one) is 101 meV/atom. As for the magnetization: 0.00 μB per atom. The calculation puts the formation energy at 128 meV/atom.

Lattice parameters (Å, degrees): 15.7659 9.1195 8.4429 90.00 91.39 90.00
Space group C2/m (No. 12)
Unique sites:
Pm 0.0000 0.1860 0.0000
Y 0.0000 0.5000 0.5000
Y 0.1979 0.0000 0.0060
Y 0.2345 0.5000 0.5772
Tm 0.0550 0.0000 0.3290
Tm 0.0937 0.5000 0.8845
Tm 0.1265 0.1922 0.6528
Tm 0.1563 0.3186 0.2471

---

# 5
Density functional theory data (GGA-PBE) for a relaxed structure of Pm5YTm8.

Values from the calculation:
As for the magnetization: 0.00 μB per atom. The calculation puts the formation energy at 238 meV/atom.

Lattice parameters (Å, degrees): 9.5586 9.5586 10.0056 90.00 90.00 90.00
Space group I-4 (No. 82)
Unique sites:
Pm 0.0000 0.0000 0.0000
Pm 0.1118 0.7851 0.5802
Y 0.0000 0.5000 0.2500
Tm 0.0715 0.6739 0.9072
Tm 0.0887 0.8271 0.2483

---

# 6
Density functional theory data (GGA-PBE) for a relaxed structure of Pm12YTm6.

Values from the calculation:
Its polymorph energy (0 for the lowest one) is 105 meV/atom. As for the magnetization: 0.00 μB per atom. The calculation puts the formation energy at 243 meV/atom.

Lattice parameters (Å, degrees): 14.7577 14.7577 10.4356 90.00 90.00 120.00
Space group R-3 (No. 148, hexagonal axes)
Unique sites:
Pm 0.0551 0.2527 0.0807
Pm 0.0641 0.2258 0.4184
Y 0.0000 0.0000 0.0000
Tm 0.0515 0.2170 0.7596

---

Q: Which calculated density values were calculated for the entries above? A: 5.50, 7.35, 6.69, 7.56, 7.87, 7.19, in g/cm3.